one:
DFT (PBE) results for crystalline MnMoOsPt at its relaxed geometry.

Lattice parameters (Å, degrees): 4.6873 2.7673 4.7423 90.00 108.68 90.00
Last column: nearest neighbours and their distance in Å.
Positions (direct):
Mn: 0.2169 0.0000 0.7301  4 Pt 2.72, 4 Os 2.75, 2 Mo 2.75, 2 Mn 2.77
Mo: 0.7171 0.0000 0.2302  4 Os 2.72, 4 Pt 2.75, 2 Mn 2.75, 2 Mo 2.77
Os: 0.2170 0.5000 0.2301  4 Mo 2.72, 4 Mn 2.75, 2 Pt 2.75, 2 Os 2.77
Pt: 0.7170 0.5000 0.7301  4 Mn 2.72, 4 Mo 2.75, 2 Os 2.75, 2 Pt 2.77

Values from the calculation:
* crystal system: monoclinic

two:
DFT (PBE) results for crystalline MnMoOsPt at its relaxed geometry.

Lattice parameters (Å, degrees): 4.8062 2.7314 10.0879 90.00 119.20 90.00
Last column: nearest neighbours and their distance in Å.
Positions (direct):
Mo: 0.2694 0.0000 0.1429  3 Mn 2.68-2.72, 3 Os 2.72-2.73, 2 Mo 2.73, 4 Pt 2.75-2.78
Mo: 0.2694 0.5000 0.6429  3 Mn 2.68-2.72, 3 Os 2.72-2.73, 2 Mo 2.73, 4 Pt 2.75-2.78
Mn: 0.6879 0.0000 0.8892  3 Mo 2.68-2.72, 3 Pt 2.72-2.74, 2 Mn 2.73, 4 Os 2.76
Mn: 0.6879 0.5000 0.3892  3 Mo 2.68-2.72, 3 Pt 2.72-2.74, 2 Mn 2.73, 4 Os 2.76
Os: 0.1914 0.0000 0.3924  3 Pt 2.69-2.71, 3 Mo 2.72-2.73, 2 Os 2.73, 4 Mn 2.76
Os: 0.1914 0.5000 0.8924  3 Pt 2.69-2.71, 3 Mo 2.72-2.73, 2 Os 2.73, 4 Mn 2.76
Pt: 0.7717 0.0000 0.6415  3 Os 2.69-2.71, 3 Mn 2.72-2.74, 2 Pt 2.73, 4 Mo 2.75-2.78
Pt: 0.7717 0.5000 0.1415  3 Os 2.69-2.71, 3 Mn 2.72-2.74, 2 Pt 2.73, 4 Mo 2.75-2.78

Values from the calculation:
* crystal system: monoclinic

Most stable structure among those shown: one. Next: +0.041 eV/atom.